VASP calculation (GGA-PBE) on crystalline AcLa15Er4 at its relaxed geometry.

Results
- ΔE_f: 0.01 eV per atom
- DFT total energy: -96.0 eV per cell
- DOS at the Fermi energy: 31.21 states/eV/cell
- Calculated density: 6.90 g cm⁻³

a b c (Å): 5.2299 5.2299 26.2152
angles (deg): 90.00 90.00 90.00
With the nearest neighbours (Å) after each atom.
Space group P4/mmm (No. 123)
One atom of each set of equivalent atoms:
Ac 0.0000 0.0000 0.0000 x1  12 La 3.70-3.80
La 0.0000 0.5000 0.1051 x4  2 Er 3.68, 8 La 3.70-3.80, 2 Ac 3.80
La 0.0000 0.5000 0.3027 x4  8 La 3.66-3.70, 4 Er 3.68
La 0.0000 0.5000 0.5000 x2  8 La 3.68-3.70, 4 Er 3.68
La 0.5000 0.5000 0.0000 x1  4 Ac 3.70, 8 La 3.80
La 0.5000 0.5000 0.2048 x2  8 La 3.66-3.70, 4 Er 3.70
La 0.5000 0.5000 0.4014 x2  8 La 3.68, 4 Er 3.70
Er 0.0000 0.0000 0.2041 x2  12 La 3.68-3.70
Er 0.0000 0.0000 0.4013 x2  12 La 3.68-3.70